The following is a DFT calculation (meta-GGA SCAN) of a crystal of Sc2TcMo relaxed with PBEsol.

The value obtained for the relative energy among the computed polymorphs is 319.7 meV/atom. As for the total moment: 0.0 Bohr magnetons per cell. Its formation energy from the elements is 182 meV/atom. Its total energy is -97.692 eV per cell.

abc: 3.8494 3.8494 5.3559
angles: 111.06 111.06 90.00
Last column: nearest neighbours and their distance in Å.
Positions (direct):
Tc  0.5000  0.5000  0.0000  4 Mo 2.72, 8 Sc 3.00
Mo  0.0000  0.0000  0.0000  4 Tc 2.72, 8 Sc 3.00
Sc  0.2500  0.7500  0.5000  4 Sc 2.72, 4 Mo 3.00, 4 Tc 3.00
Sc  0.7500  0.2500  0.5000  4 Sc 2.72, 4 Mo 3.00, 4 Tc 3.00